(1)
Here is crystalline Mg4TePb at its relaxed geometry from Alexandria via LeMat-Bulk. Energies are from GGA-PBE.

abc: 5.978 5.978 5.978
angles: 60.00 60.00 60.00
Sites, in units of the cell vectors:
Mg  0.125  0.125  0.125
Mg  0.125  0.125  0.625
Mg  0.125  0.625  0.125
Mg  0.625  0.125  0.125
Te  0.500  0.500  0.500
Pb  0.750  0.750  0.750

Calculated values
- Uncorrected energy: -2.221 eV per atom
- E_form (uncorrected): -0.016 eV per atom



(2)
Here is crystalline MgTe2Pb at its relaxed geometry from Alexandria via LeMat-Bulk. Energies are from GGA-PBE.

abc: 4.424 4.424 21.894
angles: 90.00 90.00 120.00
Sites, in units of the cell vectors:
Mg  0.000  0.000  0.000
Mg  0.333  0.667  0.667
Mg  0.667  0.333  0.333
Te  0.000  0.000  0.260
Te  0.000  0.000  0.740
Te  0.333  0.667  0.407
Te  0.333  0.667  0.926
Te  0.667  0.333  0.074
Te  0.667  0.333  0.593
Pb  0.000  0.000  0.500
Pb  0.333  0.667  0.167
Pb  0.667  0.333  0.833

Calculated values
- Uncorrected energy: -3.491 eV per atom
- E_form (uncorrected): -0.595 eV per atom



(3)
Here is crystalline Mg2TePb at its relaxed geometry from Alexandria via LeMat-Bulk. Energies are from GGA-PBE.

abc: 7.253 7.253 10.604
angles: 90.00 90.00 90.00
Sites, in units of the cell vectors:
Mg  0.230  0.250  0.125
Mg  0.250  0.730  0.375
Mg  0.250  0.770  0.875
Mg  0.270  0.250  0.625
Mg  0.730  0.750  0.625
Mg  0.750  0.230  0.875
Mg  0.750  0.270  0.375
Mg  0.770  0.750  0.125
Te  0.000  0.000  0.000
Te  0.000  0.500  0.250
Te  0.500  0.000  0.750
Te  0.500  0.500  0.500
Pb  0.000  0.000  0.500
Pb  0.000  0.500  0.750
Pb  0.500  0.000  0.250
Pb  0.500  0.500  0.000

Calculated values
- Uncorrected energy: -2.650 eV per atom
- Relative energy among the computed polymorphs: 195 meV/atom
- E_form (uncorrected): -0.140 eV per atom



(4)
Here is crystalline Mg2TePb at its relaxed geometry from Alexandria via LeMat-Bulk. Energies are from GGA-PBE.

abc: 3.282 3.282 10.302
angles: 90.00 90.00 90.00
Sites, in units of the cell vectors:
Mg  0.000  0.000  0.000
Mg  0.500  0.500  0.222
Te  0.500  0.500  0.796
Pb  0.000  0.000  0.460

Calculated values
- Uncorrected energy: -2.544 eV per atom
- Relative energy among the computed polymorphs: 300 meV/atom
- E_form (uncorrected): -0.035 eV per atom



(5)
Here is crystalline MgTe2Pb at its relaxed geometry from Alexandria via LeMat-Bulk. Energies are from GGA-PBE.

abc: 4.356 4.356 22.717
angles: 90.00 90.00 120.00
Sites, in units of the cell vectors:
Mg  0.000  0.000  0.000
Mg  0.333  0.667  0.667
Mg  0.667  0.333  0.333
Te  0.000  0.000  0.401
Te  0.000  0.000  0.590
Te  0.333  0.667  0.068
Te  0.333  0.667  0.257
Te  0.667  0.333  0.735
Te  0.667  0.333  0.923
Pb  0.000  0.000  0.832
Pb  0.333  0.667  0.498
Pb  0.667  0.333  0.165

Calculated values
- Uncorrected energy: -3.455 eV per atom
- E_form (uncorrected): -0.559 eV per atom



(6)
Here is crystalline MgTe2Pb at its relaxed geometry from Alexandria via LeMat-Bulk. Energies are from GGA-PBE.

abc: 6.439 10.957 3.478
angles: 90.00 111.18 90.00
Sites, in units of the cell vectors:
Mg  0.000  0.000  0.000
Mg  0.500  0.500  0.000
Te  0.250  0.250  0.500
Te  0.250  0.750  0.500
Te  0.750  0.250  0.500
Te  0.750  0.750  0.500
Pb  0.000  0.500  0.000
Pb  0.500  0.000  0.000

Calculated values
- Uncorrected energy: -2.903 eV per atom
- E_form (uncorrected): -0.007 eV per atom